# GGA-PBE Dy3Ho5Er4, optimized geometry
# volume	31.5	Å³ per atom
# total magnetic moment	0.45	μB/f.u.
# uncorrected energy	-4.329	eV per atom
# E_form	0.250	eV per atom
# excess energy over the best structure of this formula in the dataset	229	meV/atom
# crystal system	monoclinic
data_Dy3Ho5Er4
_chemical_formula_sum 'Dy3 Ho5 Er4'
_symmetry_space_group_name_H-M 'P 1'
_symmetry_Int_Tables_number 1
_cell_length_a 8.4484
_cell_length_b 8.4484
_cell_length_c 9.1687
_cell_angle_alpha 114.74
_cell_angle_beta 114.74
_cell_angle_gamma 40.20
loop_
_symmetry_equiv_pos_as_xyz
'x,y,z'
loop_
_atom_site_label
_atom_site_fract_x
_atom_site_fract_y
_atom_site_fract_z
_atom_site_occupancy
Dy1 0.0000 0.0000 0.0000 1
Dy2 0.2914 0.2914 0.7691 1
Dy3 0.7086 0.7086 0.2309 1
Ho1 0.0741 0.0741 0.6994 1
Ho2 0.1731 0.1731 0.3867 1
Ho3 0.5000 0.5000 0.0000 1
Ho4 0.8269 0.8269 0.6133 1
Ho5 0.9259 0.9259 0.3006 1
Er1 0.2870 0.2870 0.1219 1
Er2 0.4194 0.4194 0.5602 1
Er3 0.5806 0.5806 0.4398 1
Er4 0.7130 0.7130 0.8781 1